Entry 1:
The following is a DFT calculation (meta-GGA SCAN) of TlCrCo2Sn at its PBEsol-relaxed geometry.

a = 4.6402 Å, b = 4.6402 Å, c = 5.4763 Å
α = 90.00°, β = 90.00°, γ = 90.00°
Closest atoms and distances in Å follow each position.
Space group P4/mmm (No. 123)
Unique sites:
Tl 0.0000 0.0000 0.0000 x1  2 Sn 2.74
Cr 0.5000 0.5000 0.0000 x1  4 Tl 3.28, 8 Co 3.59
Co 0.0000 0.5000 0.5000 x2  2 Sn 2.32
Sn 0.0000 0.0000 0.5000 x1  4 Co 2.32

Values from the calculation:
* formation enthalpy at 0 K: 1345 meV per atom
* size of the total moment: 8.1 μB per formula unit
* DOS(E_F): 3.8 states/eV per cell
* raw total energy: -30.91 eV/atom

=====

Entry 2:
The following is a DFT calculation (meta-GGA SCAN) of SrCr2Co at its PBEsol-relaxed geometry.

a = 3.5628 Å, b = 3.5628 Å, c = 4.8028 Å
α = 90.00°, β = 90.00°, γ = 90.00°
Closest atoms and distances in Å follow each position.
Space group P4/mmm (No. 123)
Unique sites:
Sr 0.0000 0.0000 0.0000 x1  4 Co 2.52
Cr 0.0000 0.5000 0.5000 x2  4 Cr 2.52
Co 0.5000 0.5000 0.0000 x1  4 Sr 2.52

Values from the calculation:
* formation enthalpy at 0 K: 1380 meV per atom
* energy relative to the lowest polymorph listed for this composition: 826 meV/atom
* size of the total moment: 4.7 μB per formula unit
* DOS(E_F): 2.8 states/eV per cell
* raw total energy: -17.71 eV/atom

=====

Entry 3:
The following is a DFT calculation (meta-GGA SCAN) of SrCr2Co at its PBEsol-relaxed geometry.

a = 2.9839 Å, b = 2.9839 Å, c = 7.3304 Å
α = 90.00°, β = 90.00°, γ = 90.00°
Closest atoms and distances in Å follow each position.
Space group P4mm (No. 99)
Unique sites:
Sr 0.0000 0.0000 0.0000 x1  4 Sr 2.98, 4 Co 3.11, 4 Cr 3.34
Cr 0.0000 0.0000 0.4775 x1  4 Co 2.43, 4 Cr 2.45
Cr 0.5000 0.5000 0.6465 x1  4 Cr 2.45, 1 Co 2.45
Co 0.5000 0.5000 0.3124 x1  5 Cr 2.43-2.45

Values from the calculation:
* formation enthalpy at 0 K: 554 meV per atom
* energy relative to the lowest polymorph listed for this composition: 0 meV/atom
* size of the total moment: 2.9 μB per formula unit
* DOS(E_F): 1.4 states/eV per cell
* raw total energy: -18.53 eV/atom

=====

Entry 4:
The following is a DFT calculation (meta-GGA SCAN) of Ta2CrCo at its PBEsol-relaxed geometry.

a = 3.0956 Å, b = 3.0956 Å, c = 5.9958 Å
α = 90.00°, β = 90.00°, γ = 90.00°
Closest atoms and distances in Å follow each position.
Space group P4mm (No. 99)
Unique sites:
Ta 0.0000 0.0000 0.0000 x1  4 Cr 2.60, 1 Co 2.82, 4 Ta 2.83
Ta 0.5000 0.5000 0.2980 x1  4 Co 2.59, 1 Cr 2.80, 4 Ta 2.83
Cr 0.5000 0.5000 0.7656 x1  5 Ta 2.60-2.80, 4 Co 2.61
Co 0.0000 0.0000 0.5298 x1  5 Ta 2.59-2.82, 4 Cr 2.61

Values from the calculation:
* formation enthalpy at 0 K: 15 meV per atom
* size of the total moment: 2.7 μB per formula unit
* DOS(E_F): 3.0 states/eV per cell
* raw total energy: -42.20 eV/atom

=====

Entry 5:
The following is a DFT calculation (meta-GGA SCAN) of TaCrCo at its PBEsol-relaxed geometry.

a = 7.8990 Å, b = 4.7560 Å, c = 8.1387 Å
α = 90.00°, β = 90.00°, γ = 90.00°
Closest atoms and distances in Å follow each position.
Space group Amm2 (No. 38)
Unique sites:
Ta 0.1833 0.0000 0.0000 x4  7 Co 2.70-2.83, 5 Cr 2.78-2.84, 4 Ta 2.88-2.92
Ta 0.3102 0.0000 0.3322 x4  5 Co 2.77-2.79, 7 Cr 2.78-2.83, 4 Ta 2.88-3.00
Cr 0.0000 0.0000 0.5052 x2  6 Co 2.30-2.41
Cr 0.5000 0.0000 0.8395 x2  4 Cr 2.29-2.42, 2 Co 2.45
Cr 0.5000 0.2450 0.0819 x4  4 Cr 2.29-2.43, 2 Co 2.46
Co 0.0000 0.2465 0.2620 x4  2 Cr 2.30-2.41, 4 Co 2.34-2.41
Co 0.2439 0.0000 0.6694 x4  4 Cr 2.35-2.46, 2 Co 2.39

Values from the calculation:
* formation enthalpy at 0 K: -91 meV per atom
* energy relative to the lowest polymorph listed for this composition: 0 meV/atom
* size of the total moment: 0.0 μB per formula unit
* DOS(E_F): 26.3 states/eV per cell
* raw total energy: -34.18 eV/atom

=====

Entry 6:
The following is a DFT calculation (meta-GGA SCAN) of Ta2CrCo at its PBEsol-relaxed geometry.

a = 3.0634 Å, b = 3.0634 Å, c = 5.9731 Å
α = 90.00°, β = 90.00°, γ = 90.00°
Closest atoms and distances in Å follow each position.
Space group P4/mmm (No. 123)
Unique sites:
Ta 0.0000 0.0000 0.2490 x2  4 Cr 2.63, 4 Co 2.63
Cr 0.5000 0.5000 0.0000 x1  8 Ta 2.63
Co 0.5000 0.5000 0.5000 x1  8 Ta 2.63

Values from the calculation:
* formation enthalpy at 0 K: -161 meV per atom
* size of the total moment: 1.2 μB per formula unit
* DOS(E_F): 2.2 states/eV per cell
* raw total energy: -42.38 eV/atom

=====

The highest DOS(E_F) belongs to which entry? TaCrCo